A.
# ScMoBr (PBE, relaxed)
data_ScMoBr
_chemical_formula_sum 'Sc4 Mo4 Br4'
_space_group_name_H-M_alt 'F -4 3 m'
_space_group_IT_number 216
_space_group_name_Hall 'F -4 2 3'
_cell_length_a 6.253
_cell_length_b 6.253
_cell_length_c 6.253
_cell_angle_alpha 90.00
_cell_angle_beta 90.00
_cell_angle_gamma 90.00
loop_
_atom_site_label
_atom_site_fract_x
_atom_site_fract_y
_atom_site_fract_z
Sc1 0.000 0.000 0.000
Mo1 0.000 0.000 0.500
Br1 0.250 0.250 0.250
# Crystal system: cubic

***

B.
# ScMoBr (PBE, relaxed)
data_ScMoBr
_chemical_formula_sum 'Sc1 Mo1 Br1'
_space_group_name_H-M_alt 'P 3 m 1'
_space_group_IT_number 156
_cell_length_a 3.2209
_cell_length_b 3.2209
_cell_length_c 7.2471
_cell_angle_alpha 90.00
_cell_angle_beta 90.00
_cell_angle_gamma 120.00
loop_
_space_group_symop_operation_xyz
'x,y,z'
'-y,x-y,z'
'-x+y,-x,z'
'-y,-x,z'
'-x+y,y,z'
'x,x-y,z'
loop_
_atom_site_label
_atom_site_fract_x
_atom_site_fract_y
_atom_site_fract_z
Sc1 0.0000 0.0000 0.0000
Mo1 0.3333 0.6667 0.7048
Br1 0.6667 0.3333 0.2714
# Crystal system: trigonal

***

Energies relative to the most stable structure are A 58.0; B 0.0, reported in kJ/mol of atoms.

***

A.
# ScMoBr (PBE, relaxed)
data_ScMoBr
_chemical_formula_sum 'Sc1 Mo1 Br1'
_space_group_name_H-M_alt 'P -6 m 2'
_space_group_IT_number 187
_space_group_name_Hall 'P -6 2'
_cell_length_a 4.6163
_cell_length_b 4.6163
_cell_length_c 3.0554
_cell_angle_alpha 90.00
_cell_angle_beta 90.00
_cell_angle_gamma 120.00
loop_
_atom_site_label
_atom_site_fract_x
_atom_site_fract_y
_atom_site_fract_z
Sc1 0.0000 0.0000 0.0000
Mo1 0.3333 0.6667 0.5000
Br1 0.6667 0.3333 0.5000
# Crystal system: hexagonal

***

B.
# ScMoBr (PBE, relaxed)
data_ScMoBr
_chemical_formula_sum 'Sc4 Mo4 Br4'
_space_group_name_H-M_alt 'F m m 2'
_space_group_IT_number 42
_space_group_name_Hall 'F 2 -2'
_cell_length_a 3.592
_cell_length_b 5.130
_cell_length_c 13.388
_cell_angle_alpha 90.00
_cell_angle_beta 90.00
_cell_angle_gamma 90.00
loop_
_atom_site_label
_atom_site_fract_x
_atom_site_fract_y
_atom_site_fract_z
Sc1 0.000 0.000 0.000
Mo1 0.000 0.000 0.348
Br1 0.000 0.000 0.655
# Crystal system: orthorhombic

***

C.
# ScMoBr (PBE, relaxed)
data_ScMoBr
_chemical_formula_sum 'Sc2 Mo2 Br2'
_space_group_name_H-M_alt 'I 4 m m'
_space_group_IT_number 107
_space_group_name_Hall 'I 4 -2'
_cell_length_a 3.113
_cell_length_b 3.113
_cell_length_c 12.243
_cell_angle_alpha 90.00
_cell_angle_beta 90.00
_cell_angle_gamma 90.00
loop_
_atom_site_label
_atom_site_fract_x
_atom_site_fract_y
_atom_site_fract_z
Sc1 0.000 0.000 0.000
Mo1 0.000 0.000 0.345
Br1 0.000 0.000 0.675
# Crystal system: tetragonal

***

Energies relative to the most stable structure are A 12.2; B 0.0; C 3.3, reported in kJ/mol of atoms.

***

A.
# ScMo3Br (PBE, relaxed)
data_ScMo3Br
_chemical_formula_sum 'Sc1 Mo3 Br1'
_space_group_name_H-M_alt 'P m -3 m'
_space_group_IT_number 221
_space_group_name_Hall '-P 4 2 3'
_cell_length_a 4.638
_cell_length_b 4.638
_cell_length_c 4.638
_cell_angle_alpha 90.00
_cell_angle_beta 90.00
_cell_angle_gamma 90.00
loop_
_atom_site_label
_atom_site_fract_x
_atom_site_fract_y
_atom_site_fract_z
Sc1 0.000 0.000 0.000
Mo1 0.000 0.500 0.500
Br1 0.500 0.500 0.500
# Crystal system: cubic

***

B.
# ScMo3Br (PBE, relaxed)
data_ScMo3Br
_chemical_formula_sum 'Sc1 Mo3 Br1'
_space_group_name_H-M_alt 'P m -3 m'
_space_group_IT_number 221
_space_group_name_Hall '-P 4 2 3'
_cell_length_a 4.749
_cell_length_b 4.749
_cell_length_c 4.749
_cell_angle_alpha 90.00
_cell_angle_beta 90.00
_cell_angle_gamma 90.00
loop_
_atom_site_label
_atom_site_fract_x
_atom_site_fract_y
_atom_site_fract_z
Sc1 0.000 0.000 0.000
Mo1 0.000 0.000 0.500
Br1 0.500 0.500 0.500
# Crystal system: cubic

***

Energies relative to the most stable structure are A 0.0; B 101.6, reported in kJ/mol of atoms.

***

A.
# MoSeBr3 (PBE, relaxed)
data_MoSeBr3
_chemical_formula_sum 'Mo1 Se1 Br3'
_space_group_name_H-M_alt 'P m -3 m'
_space_group_IT_number 221
_space_group_name_Hall '-P 4 2 3'
_cell_length_a 5.050
_cell_length_b 5.050
_cell_length_c 5.050
_cell_angle_alpha 90.00
_cell_angle_beta 90.00
_cell_angle_gamma 90.00
loop_
_atom_site_label
_atom_site_fract_x
_atom_site_fract_y
_atom_site_fract_z
Mo1 0.000 0.000 0.000
Se1 0.500 0.500 0.500
Br1 0.000 0.000 0.500
# Crystal system: cubic

***

B.
# MoSeBr3 (PBE, relaxed)
data_MoSeBr3
_chemical_formula_sum 'Mo1 Se1 Br3'
_space_group_name_H-M_alt 'P m -3 m'
_space_group_IT_number 221
_space_group_name_Hall '-P 4 2 3'
_cell_length_a 5.383
_cell_length_b 5.383
_cell_length_c 5.383
_cell_angle_alpha 90.00
_cell_angle_beta 90.00
_cell_angle_gamma 90.00
loop_
_atom_site_label
_atom_site_fract_x
_atom_site_fract_y
_atom_site_fract_z
Mo1 0.000 0.000 0.000
Se1 0.500 0.500 0.500
Br1 0.000 0.500 0.500
# Crystal system: cubic

***

C.
# MoSeBr3 (PBE, relaxed)
data_MoSeBr3
_chemical_formula_sum 'Mo8 Se8 Br24'
_space_group_name_H-M_alt 'C 1 2/c 1'
_space_group_IT_number 15
_cell_length_a 6.857
_cell_length_b 14.561
_cell_length_c 12.856
_cell_angle_alpha 90.00
_cell_angle_beta 97.75
_cell_angle_gamma 90.00
loop_
_space_group_symop_operation_xyz
'x,y,z'
'-x,-y,-z'
'-x,y,-z+1/2'
'x,-y,z+1/2'
'x+1/2,y+1/2,z'
'-x+1/2,-y+1/2,-z'
'-x+1/2,y+1/2,-z+1/2'
'x+1/2,-y+1/2,z+1/2'
loop_
_atom_site_label
_atom_site_fract_x
_atom_site_fract_y
_atom_site_fract_z
Mo1 0.064 0.052 0.152
Se1 0.162 0.177 0.291
Br1 0.132 0.095 0.535
Br2 0.136 0.379 0.918
Br3 0.242 0.045 0.803
# Crystal system: monoclinic

***

Energies relative to the most stable structure are A 84.9; B 125.2; C 0.0, reported in kJ/mol of atoms.

***

A.
# MoSe3Br (PBE, relaxed)
data_MoSe3Br
_chemical_formula_sum 'Mo1 Se3 Br1'
_space_group_name_H-M_alt 'P m -3 m'
_space_group_IT_number 221
_space_group_name_Hall '-P 4 2 3'
_cell_length_a 5.129
_cell_length_b 5.129
_cell_length_c 5.129
_cell_angle_alpha 90.00
_cell_angle_beta 90.00
_cell_angle_gamma 90.00
loop_
_atom_site_label
_atom_site_fract_x
_atom_site_fract_y
_atom_site_fract_z
Mo1 0.000 0.000 0.000
Se1 0.000 0.500 0.500
Br1 0.500 0.500 0.500
# Crystal system: cubic

***

B.
# MoSe3Br (PBE, relaxed)
data_MoSe3Br
_chemical_formula_sum 'Mo1 Se3 Br1'
_space_group_name_H-M_alt 'P m -3 m'
_space_group_IT_number 221
_space_group_name_Hall '-P 4 2 3'
_cell_length_a 4.944
_cell_length_b 4.944
_cell_length_c 4.944
_cell_angle_alpha 90.00
_cell_angle_beta 90.00
_cell_angle_gamma 90.00
loop_
_atom_site_label
_atom_site_fract_x
_atom_site_fract_y
_atom_site_fract_z
Mo1 0.000 0.000 0.000
Se1 0.000 0.000 0.500
Br1 0.500 0.500 0.500
# Crystal system: cubic

***

Energies relative to the most stable structure are A 117.1; B 0.0, reported in kJ/mol of atoms.

***

A.
# SiMoSe2Br (PBE, relaxed)
data_SiMoSe2Br
_chemical_formula_sum 'Si1 Mo1 Se2 Br1'
_space_group_name_H-M_alt 'P 4/m m m'
_space_group_IT_number 123
_space_group_name_Hall '-P 4 2'
_cell_length_a 4.936
_cell_length_b 4.936
_cell_length_c 4.860
_cell_angle_alpha 90.00
_cell_angle_beta 90.00
_cell_angle_gamma 90.00
loop_
_atom_site_label
_atom_site_fract_x
_atom_site_fract_y
_atom_site_fract_z
Si1 0.000 0.000 0.000
Mo1 0.500 0.500 0.500
Se1 0.000 0.500 0.000
Br1 0.000 0.000 0.500
# Crystal system: tetragonal

***

B.
# SiMoSe2Br (PBE, relaxed)
data_SiMoSe2Br
_chemical_formula_sum 'Si1 Mo1 Se2 Br1'
_space_group_name_H-M_alt 'P 4/m m m'
_space_group_IT_number 123
_space_group_name_Hall '-P 4 2'
_cell_length_a 4.954
_cell_length_b 4.954
_cell_length_c 5.145
_cell_angle_alpha 90.00
_cell_angle_beta 90.00
_cell_angle_gamma 90.00
loop_
_atom_site_label
_atom_site_fract_x
_atom_site_fract_y
_atom_site_fract_z
Si1 0.000 0.000 0.000
Mo1 0.500 0.500 0.500
Se1 0.000 0.500 0.500
Br1 0.500 0.500 0.000
# Crystal system: tetragonal

***

Energies relative to the most stable structure are A 20.0; B 0.0, reported in kJ/mol of atoms.

***

A.
# TaMoSe2Br (PBE, relaxed)
data_TaMoSe2Br
_chemical_formula_sum 'Ta1 Mo1 Se2 Br1'
_space_group_name_H-M_alt 'P 4/m m m'
_space_group_IT_number 123
_space_group_name_Hall '-P 4 2'
_cell_length_a 4.943
_cell_length_b 4.943
_cell_length_c 4.992
_cell_angle_alpha 90.00
_cell_angle_beta 90.00
_cell_angle_gamma 90.00
loop_
_atom_site_label
_atom_site_fract_x
_atom_site_fract_y
_atom_site_fract_z
Ta1 0.000 0.000 0.000
Mo1 0.500 0.500 0.500
Se1 0.000 0.500 0.500
Br1 0.500 0.500 0.000
# Crystal system: tetragonal

***

B.
# TaMoSe2Br (PBE, relaxed)
data_TaMoSe2Br
_chemical_formula_sum 'Ta1 Mo1 Se2 Br1'
_space_group_name_H-M_alt 'P 4/m m m'
_space_group_IT_number 123
_space_group_name_Hall '-P 4 2'
_cell_length_a 5.059
_cell_length_b 5.059
_cell_length_c 5.101
_cell_angle_alpha 90.00
_cell_angle_beta 90.00
_cell_angle_gamma 90.00
loop_
_atom_site_label
_atom_site_fract_x
_atom_site_fract_y
_atom_site_fract_z
Ta1 0.000 0.000 0.000
Mo1 0.500 0.500 0.500
Se1 0.000 0.500 0.000
Br1 0.000 0.000 0.500
# Crystal system: tetragonal

***

Energies relative to the most stable structure are A 37.3; B 0.0, reported in kJ/mol of atoms.

***

A.
# TiMoSeBr2 (PBE, relaxed)
data_TiMoSeBr2
_chemical_formula_sum 'Ti1 Mo1 Se1 Br2'
_space_group_name_H-M_alt 'P 4/m m m'
_space_group_IT_number 123
_space_group_name_Hall '-P 4 2'
_cell_length_a 5.168
_cell_length_b 5.168
_cell_length_c 5.076
_cell_angle_alpha 90.00
_cell_angle_beta 90.00
_cell_angle_gamma 90.00
loop_
_atom_site_label
_atom_site_fract_x
_atom_site_fract_y
_atom_site_fract_z
Ti1 0.000 0.000 0.000
Mo1 0.500 0.500 0.500
Se1 0.500 0.500 0.000
Br1 0.000 0.500 0.500
# Crystal system: tetragonal

***

B.
# TiMoSeBr2 (PBE, relaxed)
data_TiMoSeBr2
_chemical_formula_sum 'Ti1 Mo1 Se1 Br2'
_space_group_name_H-M_alt 'P 4/m m m'
_space_group_IT_number 123
_space_group_name_Hall '-P 4 2'
_cell_length_a 5.134
_cell_length_b 5.134
_cell_length_c 5.031
_cell_angle_alpha 90.00
_cell_angle_beta 90.00
_cell_angle_gamma 90.00
loop_
_atom_site_label
_atom_site_fract_x
_atom_site_fract_y
_atom_site_fract_z
Ti1 0.000 0.000 0.000
Mo1 0.500 0.500 0.500
Se1 0.000 0.000 0.500
Br1 0.000 0.500 0.000
# Crystal system: tetragonal

***

Energies relative to the most stable structure are A 20.2; B 0.0, reported in kJ/mol of atoms.

***

A.
# MoWSeBr2 (PBE, relaxed)
data_MoWSeBr2
_chemical_formula_sum 'Mo1 W1 Se1 Br2'
_space_group_name_H-M_alt 'P 4/m m m'
_space_group_IT_number 123
_space_group_name_Hall '-P 4 2'
_cell_length_a 5.263
_cell_length_b 5.263
_cell_length_c 4.867
_cell_angle_alpha 90.00
_cell_angle_beta 90.00
_cell_angle_gamma 90.00
loop_
_atom_site_label
_atom_site_fract_x
_atom_site_fract_y
_atom_site_fract_z
Mo1 0.000 0.000 0.000
W1 0.500 0.500 0.500
Se1 0.500 0.500 0.000
Br1 0.000 0.500 0.500
# Crystal system: tetragonal

***

B.
# MoWSeBr2 (PBE, relaxed)
data_MoWSeBr2
_chemical_formula_sum 'Mo1 W1 Se1 Br2'
_space_group_name_H-M_alt 'P 4/m m m'
_space_group_IT_number 123
_space_group_name_Hall '-P 4 2'
_cell_length_a 5.152
_cell_length_b 5.152
_cell_length_c 5.005
_cell_angle_alpha 90.00
_cell_angle_beta 90.00
_cell_angle_gamma 90.00
loop_
_atom_site_label
_atom_site_fract_x
_atom_site_fract_y
_atom_site_fract_z
Mo1 0.000 0.000 0.000
W1 0.500 0.500 0.500
Se1 0.000 0.000 0.500
Br1 0.000 0.500 0.000
# Crystal system: tetragonal

***

Energies relative to the most stable structure are A 0.0; B 22.0, reported in kJ/mol of atoms.

***

A.
# YMoSe2Br (PBE, relaxed)
data_YMoSe2Br
_chemical_formula_sum 'Y1 Mo1 Se2 Br1'
_space_group_name_H-M_alt 'P 4/m m m'
_space_group_IT_number 123
_space_group_name_Hall '-P 4 2'
_cell_length_a 5.051
_cell_length_b 5.051
_cell_length_c 4.979
_cell_angle_alpha 90.00
_cell_angle_beta 90.00
_cell_angle_gamma 90.00
loop_
_atom_site_label
_atom_site_fract_x
_atom_site_fract_y
_atom_site_fract_z
Y1 0.000 0.000 0.000
Mo1 0.500 0.500 0.500
Se1 0.000 0.500 0.500
Br1 0.500 0.500 0.000
# Crystal system: tetragonal

***

B.
# YMoSe2Br (PBE, relaxed)
data_YMoSe2Br
_chemical_formula_sum 'Y1 Mo1 Se2 Br1'
_space_group_name_H-M_alt 'P 4/m m m'
_space_group_IT_number 123
_space_group_name_Hall '-P 4 2'
_cell_length_a 5.491
_cell_length_b 5.491
_cell_length_c 5.384
_cell_angle_alpha 90.00
_cell_angle_beta 90.00
_cell_angle_gamma 90.00
loop_
_atom_site_label
_atom_site_fract_x
_atom_site_fract_y
_atom_site_fract_z
Y1 0.000 0.000 0.000
Mo1 0.500 0.500 0.500
Se1 0.000 0.500 0.000
Br1 0.000 0.000 0.500
# Crystal system: tetragonal

***

Energies relative to the most stable structure are A 0.0; B 26.7, reported in kJ/mol of atoms.

***

A.
# YMoSeBr2 (PBE, relaxed)
data_YMoSeBr2
_chemical_formula_sum 'Y1 Mo1 Se1 Br2'
_space_group_name_H-M_alt 'P 4/m m m'
_space_group_IT_number 123
_space_group_name_Hall '-P 4 2'
_cell_length_a 5.069
_cell_length_b 5.069
_cell_length_c 5.152
_cell_angle_alpha 90.00
_cell_angle_beta 90.00
_cell_angle_gamma 90.00
loop_
_atom_site_label
_atom_site_fract_x
_atom_site_fract_y
_atom_site_fract_z
Y1 0.000 0.000 0.000
Mo1 0.500 0.500 0.500
Se1 0.500 0.500 0.000
Br1 0.000 0.500 0.500
# Crystal system: tetragonal

***

B.
# YMoSeBr2 (PBE, relaxed)
data_YMoSeBr2
_chemical_formula_sum 'Y1 Mo1 Se1 Br2'
_space_group_name_H-M_alt 'P 4/m m m'
_space_group_IT_number 123
_space_group_name_Hall '-P 4 2'
_cell_length_a 5.511
_cell_length_b 5.511
_cell_length_c 5.544
_cell_angle_alpha 90.00
_cell_angle_beta 90.00
_cell_angle_gamma 90.00
loop_
_atom_site_label
_atom_site_fract_x
_atom_site_fract_y
_atom_site_fract_z
Y1 0.000 0.000 0.000
Mo1 0.500 0.500 0.500
Se1 0.000 0.000 0.500
Br1 0.000 0.500 0.000
# Crystal system: tetragonal

***

Energies relative to the most stable structure are A 10.6; B 0.0, reported in kJ/mol of atoms.

***

A.
# ZnMoSe2Br (PBE, relaxed)
data_ZnMoSe2Br
_chemical_formula_sum 'Zn1 Mo1 Se2 Br1'
_space_group_name_H-M_alt 'P 4/m m m'
_space_group_IT_number 123
_space_group_name_Hall '-P 4 2'
_cell_length_a 4.906
_cell_length_b 4.906
_cell_length_c 5.361
_cell_angle_alpha 90.00
_cell_angle_beta 90.00
_cell_angle_gamma 90.00
loop_
_atom_site_label
_atom_site_fract_x
_atom_site_fract_y
_atom_site_fract_z
Zn1 0.000 0.000 0.000
Mo1 0.500 0.500 0.500
Se1 0.000 0.500 0.500
Br1 0.500 0.500 0.000
# Crystal system: tetragonal

***

B.
# ZnMoSe2Br (PBE, relaxed)
data_ZnMoSe2Br
_chemical_formula_sum 'Zn1 Mo1 Se2 Br1'
_space_group_name_H-M_alt 'P 4/m m m'
_space_group_IT_number 123
_space_group_name_Hall '-P 4 2'
_cell_length_a 4.953
_cell_length_b 4.953
_cell_length_c 5.005
_cell_angle_alpha 90.00
_cell_angle_beta 90.00
_cell_angle_gamma 90.00
loop_
_atom_site_label
_atom_site_fract_x
_atom_site_fract_y
_atom_site_fract_z
Zn1 0.000 0.000 0.000
Mo1 0.500 0.500 0.500
Se1 0.000 0.500 0.000
Br1 0.000 0.000 0.500
# Crystal system: tetragonal

***

Energies relative to the most stable structure are A 0.0; B 54.2, reported in kJ/mol of atoms.